[1]
HgBBr2 after structural relaxation, computed with PBE.

a = 5.1378 Å, b = 5.1378 Å, c = 5.1378 Å
α = 60.00°, β = 60.00°, γ = 60.00°
Atoms (fractional coordinates):
B (0.0000, 0.0000, 0.0000)
Hg (0.5000, 0.5000, 0.5000)
Br (0.2500, 0.2500, 0.2500)
Br (0.7500, 0.7500, 0.7500)

Output
The space group is Fm-3m, No. 225. As for the total energy: -1.59 eV/atom. As for the energy relative to the lowest polymorph listed for this composition: 689 meV per atom. Its density of states at the Fermi level is 1.0235 states/eV/atom.



[2]
HgB2Br8 after structural relaxation, computed with PBE.

a = 6.1729 Å, b = 8.0457 Å, c = 8.0457 Å
α = 83.40°, β = 85.27°, γ = 85.27°
Atoms (fractional coordinates):
Hg (0.0000, 0.0000, 0.0000)
B (0.3487, 0.2088, 0.2088)
B (0.6513, 0.7912, 0.7912)
Br (0.7460, 0.0323, 0.7210)
Br (0.2540, 0.2790, 0.9677)
Br (0.6785, 0.2089, 0.2089)
Br (0.3215, 0.7911, 0.7911)
Br (0.7460, 0.7210, 0.0323)
Br (0.2540, 0.9677, 0.2790)
Br (0.2154, 0.3663, 0.3663)
Br (0.7846, 0.6337, 0.6337)

Output
The space group is C2/m, No. 12. As for the total energy: -2.88 eV/atom. As for the energy relative to the lowest polymorph listed for this composition: 7 meV per atom. Its density of states at the Fermi level is 0.0000 states/eV/atom.



[3]
HgB2Br8 after structural relaxation, computed with PBE.

a = 9.4894 Å, b = 10.3849 Å, c = 10.7945 Å
α = 66.04°, β = 63.92°, γ = 62.81°
Atoms (fractional coordinates):
Hg (0.9993, 0.7500, 0.2500)
Hg (0.0007, 0.2500, 0.7500)
B (0.8535, 0.8675, 0.9549)
B (0.3241, 0.3675, 0.4549)
B (0.6759, 0.6325, 0.5451)
B (0.1465, 0.1325, 0.0451)
Br (0.4391, 0.7360, 0.5557)
Br (0.1150, 0.9664, 0.2355)
Br (0.7315, 0.9628, 0.1220)
Br (0.2207, 0.2222, 0.4712)
Br (0.2685, 0.0372, 0.8780)
Br (0.9141, 0.2778, 0.0288)
Br (0.7793, 0.7778, 0.5288)
Br (0.1837, 0.4628, 0.6220)
Br (0.0859, 0.7222, 0.9712)
Br (0.7307, 0.7640, 0.9443)
Br (0.6832, 0.4664, 0.7355)
Br (0.3168, 0.5336, 0.2645)
Br (0.2693, 0.2360, 0.0557)
Br (0.8163, 0.5372, 0.3780)
Br (0.5609, 0.2640, 0.4443)
Br (0.8850, 0.0336, 0.7645)

Output
The space group is C2/c, No. 15. As for the total energy: -2.88 eV/atom. As for the energy relative to the lowest polymorph listed for this composition: 0 meV per atom. Its density of states at the Fermi level is 0.0000 states/eV/atom.



[4]
HgB3Br after structural relaxation, computed with PBE.

a = 4.5514 Å, b = 4.5514 Å, c = 4.5514 Å
α = 90.00°, β = 90.00°, γ = 90.00°
Atoms (fractional coordinates):
B (0.0000, 0.5000, 0.0000)
B (0.0000, 0.0000, 0.5000)
B (0.5000, 0.0000, 0.0000)
Hg (0.0000, 0.0000, 0.0000)
Br (0.5000, 0.5000, 0.5000)

Output
The space group is Pm-3m, No. 221. As for the total energy: -2.26 eV/atom. As for the energy relative to the lowest polymorph listed for this composition: 0 meV per atom. Its density of states at the Fermi level is 0.6612 states/eV/atom.



[5]
HgB2Br after structural relaxation, computed with PBE.

a = 5.4142 Å, b = 5.4142 Å, c = 6.5094 Å
α = 65.43°, β = 65.43°, γ = 90.00°
Atoms (fractional coordinates):
B (0.6476, 0.1250, 0.2500)
B (0.1024, 0.6250, 0.2500)
B (0.3750, 0.3524, 0.7500)
B (0.8750, 0.8976, 0.7500)
Hg (0.0000, 0.0000, 0.0000)
Hg (0.7500, 0.2500, 0.5000)
Br (0.5000, 0.5000, 0.0000)
Br (0.2500, 0.7500, 0.5000)

Output
The space group is I-42d, No. 122. As for the total energy: -2.38 eV/atom. As for the energy relative to the lowest polymorph listed for this composition: 0 meV per atom. Its density of states at the Fermi level is 0.4633 states/eV/atom.



[6]
HgB2Br after structural relaxation, computed with PBE.

a = 4.6508 Å, b = 4.6508 Å, c = 4.6508 Å
α = 60.00°, β = 60.00°, γ = 60.00°
Atoms (fractional coordinates):
B (0.2500, 0.2500, 0.2500)
B (0.7500, 0.7500, 0.7500)
Hg (0.5000, 0.5000, 0.5000)
Br (0.0000, 0.0000, 0.0000)

Output
The space group is Fm-3m, No. 225. As for the total energy: -1.84 eV/atom. As for the energy relative to the lowest polymorph listed for this composition: 540 meV per atom. Its density of states at the Fermi level is 0.7994 states/eV/atom.



[7]
Li2HgBBr after structural relaxation, computed with PBE.

a = 5.0068 Å, b = 6.1339 Å, c = 5.0068 Å
α = 90.00°, β = 90.00°, γ = 90.00°
Each line ends with the local moment (μB).
Atoms (fractional coordinates):
B (0.5000, 0.5000, 0.5000)  0.17
Hg (0.0000, 0.0000, 0.0000)  -0.04
Br (0.0000, 0.5000, 0.0000)  -0.01
Li (0.0000, 0.0000, 0.5000)  -0.01
Li (0.5000, 0.0000, 0.0000)  -0.02

Output
The space group is P4/mmm, No. 123. As for the total energy: -1.56 eV/atom. Its density of states at the Fermi level is 0.2743 states/eV/atom.



[8]
MgHg2BBr after structural relaxation, computed with PBE.

a = 4.3556 Å, b = 7.3039 Å, c = 4.3556 Å
α = 90.00°, β = 90.00°, γ = 90.00°
Atoms (fractional coordinates):
Mg (0.5000, 0.5000, 0.5000)
B (0.0000, 0.0000, 0.0000)
Hg (0.0000, 0.0000, 0.5000)
Hg (0.5000, 0.0000, 0.0000)
Br (0.0000, 0.5000, 0.0000)

Output
The space group is P4/mmm, No. 123. As for the total energy: -1.77 eV/atom. Its density of states at the Fermi level is 0.3553 states/eV/atom.



[9]
Nb2HgBBr after structural relaxation, computed with PBE.

a = 4.7582 Å, b = 4.7582 Å, c = 5.4818 Å
α = 90.00°, β = 90.00°, γ = 90.00°
Atoms (fractional coordinates):
Nb (0.0000, 0.5000, 0.0000)
Nb (0.5000, 0.0000, 0.0000)
B (0.5000, 0.5000, 0.5000)
Hg (0.0000, 0.0000, 0.5000)
Br (0.0000, 0.0000, 0.0000)

Output
The space group is P4/mmm, No. 123. As for the total energy: -3.59 eV/atom. Its density of states at the Fermi level is 0.5284 states/eV/atom.



[10]
RbHgB2Br8 after structural relaxation, computed with PBE.

a = 6.7486 Å, b = 6.7486 Å, c = 10.7802 Å
α = 71.76°, β = 71.76°, γ = 60.00°
Each line ends with the local moment (μB).
Atoms (fractional coordinates):
Rb (0.5000, 0.5000, 0.5000)  0.00
Hg (0.0000, 0.0000, 0.0000)  0.17
B (0.2464, 0.2464, 0.2607)  0.00
B (0.7536, 0.7536, 0.7393)  0.00
Br (0.1792, 0.1792, 0.4623)  0.01
Br (0.5332, 0.3062, 0.1940)  0.03
Br (0.8208, 0.8208, 0.5377)  0.01
Br (0.9665, 0.5332, 0.1940)  0.03
Br (0.0335, 0.4668, 0.8060)  0.03
Br (0.3062, 0.9665, 0.1940)  0.03
Br (0.6938, 0.0335, 0.8060)  0.03
Br (0.4668, 0.6938, 0.8060)  0.03

Output
The space group is R-3, No. 148. As for the total energy: -2.96 eV/atom. Its density of states at the Fermi level is 0.4853 states/eV/atom.



[11]
Rb2HgBBr6 after structural relaxation, computed with PBE.

a = 7.5158 Å, b = 7.5158 Å, c = 7.5477 Å
α = 60.14°, β = 60.14°, γ = 90.00°
Atoms (fractional coordinates):
B (0.5000, 0.5000, 0.0000)
Br (0.2766, 0.2766, 0.4468)
Br (0.7234, 0.7234, 0.5532)
Br (0.2765, 0.2765, 0.0000)
Br (0.7235, 0.7235, 0.0000)
Br (0.7235, 0.2765, 0.0000)
Br (0.2765, 0.7235, 0.0000)
Hg (0.0000, 0.0000, 0.0000)
Rb (0.7500, 0.2500, 0.5000)
Rb (0.2500, 0.7500, 0.5000)

Output
The space group is I4/mmm, No. 139. As for the total energy: -2.55 eV/atom. Its density of states at the Fermi level is 0.1382 states/eV/atom.



[12]
ScHgB2Br after structural relaxation, computed with PBE.

a = 4.1483 Å, b = 5.9925 Å, c = 4.1483 Å
α = 90.00°, β = 90.00°, γ = 90.00°
Atoms (fractional coordinates):
Sc (0.0000, 0.5000, 0.0000)
B (0.0000, 0.0000, 0.5000)
B (0.5000, 0.0000, 0.0000)
Hg (0.0000, 0.0000, 0.0000)
Br (0.5000, 0.5000, 0.5000)

Output
The space group is P4/mmm, No. 123. As for the total energy: -3.29 eV/atom. Its density of states at the Fermi level is 0.7863 states/eV/atom.



[13]
HgBSeBr2 after structural relaxation, computed with PBE.

a = 5.5205 Å, b = 5.5205 Å, c = 5.2727 Å
α = 90.00°, β = 90.00°, γ = 90.00°
Atoms (fractional coordinates):
B (0.5000, 0.5000, 0.5000)
Se (0.0000, 0.0000, 0.5000)
Hg (0.0000, 0.0000, 0.0000)
Br (0.0000, 0.5000, 0.0000)
Br (0.5000, 0.0000, 0.0000)

Output
The space group is P4/mmm, No. 123. As for the total energy: -1.64 eV/atom. As for the energy relative to the lowest polymorph listed for this composition: 603 meV per atom. Its density of states at the Fermi level is 0.8366 states/eV/atom.



[14]
HgBSeBr2 after structural relaxation, computed with PBE.

a = 4.6739 Å, b = 4.6739 Å, c = 4.8819 Å
α = 90.00°, β = 90.00°, γ = 90.00°
Atoms (fractional coordinates):
B (0.0000, 0.0000, 0.0000)
Se (0.0000, 0.0000, 0.5000)
Hg (0.5000, 0.5000, 0.5000)
Br (0.0000, 0.5000, 0.0000)
Br (0.5000, 0.0000, 0.0000)

Output
The space group is P4/mmm, No. 123. As for the total energy: -2.24 eV/atom. As for the energy relative to the lowest polymorph listed for this composition: 0 meV per atom. Its density of states at the Fermi level is 0.3109 states/eV/atom.



[15]
Si2HgBBr after structural relaxation, computed with PBE.

a = 5.0189 Å, b = 6.1797 Å, c = 5.0189 Å
α = 90.00°, β = 90.00°, γ = 90.00°
Atoms (fractional coordinates):
Si (0.0000, 0.0000, 0.5000)
Si (0.5000, 0.0000, 0.0000)
B (0.5000, 0.5000, 0.5000)
Hg (0.0000, 0.5000, 0.0000)
Br (0.0000, 0.0000, 0.0000)

Output
The space group is P4/mmm, No. 123. As for the total energy: -1.88 eV/atom. Its density of states at the Fermi level is 0.5567 states/eV/atom.



[16]
TaHgBBr2 after structural relaxation, computed with PBE.

a = 5.5849 Å, b = 5.5207 Å, c = 5.5849 Å
α = 90.00°, β = 90.00°, γ = 90.00°
Each line ends with the local moment (μB).
Atoms (fractional coordinates):
B (0.5000, 0.5000, 0.5000)  0.24
Hg (0.0000, 0.0000, 0.0000)  0.02
Br (0.0000, 0.0000, 0.5000)  0.04
Br (0.5000, 0.0000, 0.0000)  0.01
Ta (0.0000, 0.5000, 0.0000)  1.94

Output
The space group is P4/mmm, No. 123. As for the total energy: -2.36 eV/atom. Its density of states at the Fermi level is 1.1749 states/eV/atom.



[17]
TlHg2BBr after structural relaxation, computed with PBE.

a = 4.6011 Å, b = 5.7808 Å, c = 4.6011 Å
α = 90.00°, β = 90.00°, γ = 90.00°
Atoms (fractional coordinates):
Tl (0.0000, 0.5000, 0.0000)
B (0.0000, 0.0000, 0.0000)
Hg (0.0000, 0.0000, 0.5000)
Hg (0.5000, 0.0000, 0.0000)
Br (0.5000, 0.5000, 0.5000)

Output
The space group is P4/mmm, No. 123. As for the total energy: -2.13 eV/atom. Its density of states at the Fermi level is 0.1404 states/eV/atom.



[18]
Ho4BBr5 after structural relaxation, computed with PBE.

a = 3.8906 Å, b = 8.1433 Å, c = 9.1498 Å
α = 102.51°, β = 102.28°, γ = 90.00°
Atoms (fractional coordinates):
Ho (0.3583, 0.9258, 0.7165)
Ho (0.0006, 0.7932, 0.0012)
Ho (0.6417, 0.0741, 0.2835)
Ho (0.9994, 0.2068, 0.9988)
B (0.5000, 0.0000, 0.0000)
Br (0.8345, 0.6631, 0.6690)
Br (0.8280, 0.1671, 0.6561)
Br (0.1720, 0.8329, 0.3439)
Br (0.5000, 0.5000, 0.0000)
Br (0.1655, 0.3369, 0.3310)

Output
The space group is C2/m, No. 12. As for the total energy: -4.73 eV/atom. As for the energy relative to the lowest polymorph listed for this composition: 0 meV per atom. Its density of states at the Fermi level is 0.4568 states/eV/atom.



[19]
Ho3BBr3 after structural relaxation, computed with PBE.

a = 9.7031 Å, b = 9.7031 Å, c = 9.7031 Å
α = 109.47°, β = 109.47°, γ = 109.47°
Atoms (fractional coordinates):
Ho (0.9585, 0.4792, 0.2292)
Ho (0.5208, 0.0415, 0.2708)
Ho (0.2500, 0.0208, 0.4792)
Ho (0.9792, 0.7500, 0.0208)
Ho (0.9792, 0.2292, 0.4585)
Ho (0.7708, 0.0208, 0.0415)
Ho (0.7292, 0.4585, 0.4792)
Ho (0.7708, 0.7500, 0.2292)
Ho (0.5415, 0.2708, 0.0208)
Ho (0.2500, 0.2292, 0.2708)
Ho (0.7292, 0.2708, 0.7500)
Ho (0.5208, 0.4792, 0.7500)
B (0.7500, 0.5000, 0.0000)
B (0.5000, 0.2500, 0.5000)
B (0.7500, 0.2500, 0.2500)
B (0.0000, 0.0000, 0.2500)
Br (0.2423, 0.9923, 0.9847)
Br (0.7500, 0.7577, 0.7423)
Br (0.4847, 0.7423, 0.9923)
Br (0.0077, 0.2500, 0.9923)
Br (0.2577, 0.7423, 0.2500)
Br (0.4923, 0.5077, 0.2500)
Br (0.2423, 0.2500, 0.7577)
Br (0.2577, 0.5153, 0.5077)
Br (0.7500, 0.9923, 0.5077)
Br (0.0153, 0.5077, 0.7577)
Br (0.0077, 0.7577, 0.5153)
Br (0.4923, 0.9847, 0.7423)

Output
The space group is I4_132, No. 214. As for the total energy: -4.90 eV/atom. Its density of states at the Fermi level is 0.3462 states/eV/atom.



[20]
Ho4BBr5 after structural relaxation, computed with PBE.

a = 3.8905 Å, b = 8.0900 Å, c = 10.1056 Å
α = 89.66°, β = 101.10°, γ = 90.00°
Atoms (fractional coordinates):
Ho (0.3772, 0.0019, 0.7543)
Ho (0.0000, 0.7912, 0.0000)
Ho (0.6228, 0.9981, 0.2457)
Ho (0.0000, 0.2088, 0.0000)
B (0.5000, 0.0000, 0.0000)
Br (0.8495, 0.7526, 0.6991)
Br (0.8497, 0.2519, 0.6995)
Br (0.1503, 0.7481, 0.3005)
Br (0.5000, 0.5000, 0.0000)
Br (0.1505, 0.2474, 0.3009)

Output
The space group is C2/m, No. 12. As for the total energy: -4.71 eV/atom. As for the energy relative to the lowest polymorph listed for this composition: 24 meV per atom. Its density of states at the Fermi level is 0.4607 states/eV/atom.